# CrSbW2, optimized geometry, DFT PBEsol
# total magnetization: 0.003 μB/cell
# formation energy from raw total energies: 1.856 eV/f.u.
# volume: 62 Å³/f.u.
data_CrSbW2
_chemical_formula_sum 'Cr2 Sb2 W4'
_cell_length_a 3.265
_cell_length_b 4.335
_cell_length_c 8.753
_cell_angle_alpha 90.00
_cell_angle_beta 90.00
_cell_angle_gamma 90.00
_space_group_name_H-M_alt 'I m m 2'
_space_group_IT_number 44
_space_group_name_Hall 'I 2 -2'
loop_
_atom_site_label
_atom_site_fract_x
_atom_site_fract_y
_atom_site_fract_z
Cr1 0.000 0.000 0.000
Sb1 0.000 0.500 0.744
W1 0.000 0.000 0.508
W2 0.000 0.500 0.260